{
  "formula": "Rb4LiTh3S8",
  "functional": "PBE",
  "state": "relaxed",
  "crystal_system": "trigonal",
  "magmom_total_mub_per_cell": 0.0,
  "e_form_raw_ev_per_atom": -1.641,
  "lattice_angstrom": [[-6.336, -4.491, -3.161], [-1.629, -3.484, 8.216], [-0.004, 8.354, -0.740]],
  "species": ["Li", "S", "S", "S", "S", "S", "S", "S", "S", "Th", "Th", "Th", "Rb", "Rb", "Rb", "Rb"],
  "frac_coords": [[0.000, 0.500, 0.000], [0.267, 0.301, 0.534], [0.733, 0.699, 0.466], [0.763, 0.306, 0.526], [0.279, 0.306, 0.043], [0.721, 0.694, 0.957], [0.763, 0.306, 0.043], [0.237, 0.694, 0.957], [0.237, 0.694, 0.474], [0.500, 0.500, 0.500], [0.500, 0.500, 0.000], [0.000, 0.500, 0.500], [0.500, 0.000, 0.000], [0.000, 0.000, 0.000], [0.000, 0.000, 0.500], [0.500, 0.000, 0.500]]
}